1.
DFT (PBE) results for a relaxed Ac2CeSb2O2 crystal.

a = 9.2450 Å, b = 9.2450 Å, c = 9.2450 Å
α = 151.21°, β = 151.21°, γ = 41.16°
Element x y z (fractional)
Ac 0.1239 0.1239 0.0000
Ac 0.8761 0.8761 0.0000
Ce 0.5000 0.5000 0.0000
Sb 0.3190 0.3190 0.0000
Sb 0.6810 0.6810 0.0000
O 0.0000 0.5000 0.5000
O 0.5000 0.0000 0.5000

As for the total energy: -6.602 eV/atom. As for the total magnetization: 0.188 μB per formula unit. As for the uncorrected formation energy: -1.986 eV per atom. The space group is No. 139.


2.
DFT (PBE) results for a relaxed Ce4PuTe6 crystal.

a = 8.9062 Å, b = 8.9062 Å, c = 8.9062 Å
α = 90.94°, β = 90.94°, γ = 90.94°
Element x y z (fractional)
Ce 0.1417 0.7500 0.3583
Ce 0.2500 0.2500 0.2500
Ce 0.2500 0.6417 0.8583
Ce 0.3583 0.1417 0.7500
Ce 0.6417 0.8583 0.2500
Ce 0.7500 0.3583 0.1417
Ce 0.7500 0.7500 0.7500
Ce 0.8583 0.2500 0.6417
Pu 0.0000 0.0000 0.0000
Pu 0.5000 0.5000 0.5000
Te 0.0606 0.9147 0.6749
Te 0.0853 0.3251 0.9394
Te 0.1749 0.4147 0.5606
Te 0.3251 0.9394 0.0853
Te 0.4147 0.5606 0.1749
Te 0.4394 0.8251 0.5853
Te 0.5606 0.1749 0.4147
Te 0.5853 0.4394 0.8251
Te 0.6749 0.0606 0.9147
Te 0.8251 0.5853 0.4394
Te 0.9147 0.6749 0.0606
Te 0.9394 0.0853 0.3251

As for the total energy: -6.358 eV/atom. As for the total magnetization: 1.237 μB per formula unit. As for the uncorrected formation energy: -1.184 eV per atom. The space group is No. 167.


3.
DFT (PBE) results for a relaxed CeYPuZn crystal.

a = 5.2180 Å, b = 5.2180 Å, c = 5.2180 Å
α = 60.00°, β = 60.00°, γ = 60.00°
Element x y z (fractional)
Ce 0.0000 0.0000 0.0000
Y 0.5000 0.5000 0.5000
Pu 0.7500 0.7500 0.7500
Zn 0.2500 0.2500 0.2500

As for the total energy: -6.949 eV/atom. The formation energy comes out at 0.0521 eV per atom. As for the total magnetization: 8.596 μB per formula unit. The space group is No. 216.


4.
DFT (PBE) results for a relaxed YErAgPd crystal.

a = 5.0335 Å, b = 5.0335 Å, c = 5.0335 Å
α = 60.00°, β = 60.00°, γ = 60.00°
Element x y z (fractional)
Y 0.0000 0.0000 0.0000
Er 0.5000 0.5000 0.5000
Ag 0.7500 0.7500 0.7500
Pd 0.2500 0.2500 0.2500

As for the total energy: -5.369 eV/atom. The formation energy comes out at -0.6011 eV per atom. As for the total magnetization: 0.000 μB per formula unit. The space group is No. 216.


5.
DFT (PBE) results for a relaxed AcLaNi2Ge2 crystal.

a = 4.1947 Å, b = 4.1947 Å, c = 8.7522 Å
α = 90.00°, β = 90.00°, γ = 120.00°
Element x y z (fractional)
Ac 0.0000 0.0000 0.0000
La 0.0000 0.0000 0.5000
Ni 0.3333 0.6667 0.2581
Ni 0.6667 0.3333 0.7419
Ge 0.3333 0.6667 0.7407
Ge 0.6667 0.3333 0.2593

As for the total energy: -5.659 eV/atom. The formation energy comes out at -0.6867 eV per atom. As for the total magnetization: 0.000 μB per formula unit. The space group is No. 164.


6.
DFT (PBE) results for a relaxed Sm2Dy5Er3 crystal.

a = 9.5183 Å, b = 9.5183 Å, c = 9.3832 Å
α = 108.19°, β = 108.19°, γ = 112.22°
Element x y z (fractional)
Sm 0.0146 0.2666 0.0463
Sm 0.2666 0.0146 0.5463
Sm 0.7334 0.9854 0.4537
Sm 0.9854 0.7334 0.9537
Dy 0.1522 0.3867 0.7838
Dy 0.2316 0.7684 0.7500
Dy 0.2733 0.7267 0.2500
Dy 0.3867 0.1522 0.2838
Dy 0.4707 0.5293 0.2500
Dy 0.5293 0.4707 0.7500
Dy 0.6133 0.8478 0.7162
Dy 0.7267 0.2733 0.7500
Dy 0.7684 0.2316 0.2500
Dy 0.8478 0.6133 0.2162
Er 0.0237 0.9763 0.7500
Er 0.2218 0.4619 0.4518
Er 0.4619 0.2218 0.9518
Er 0.5381 0.7782 0.0482
Er 0.7782 0.5381 0.5482
Er 0.9763 0.0237 0.2500

As for the total energy: -4.414 eV/atom. The formation energy comes out at 0.1996 eV per atom. As for the total magnetization: 0.000 μB per formula unit. The space group is No. 15.


7.
DFT (PBE) results for a relaxed CsRb2IBr6 crystal.

a = 9.4562 Å, b = 9.4562 Å, c = 9.4562 Å
α = 126.72°, β = 126.72°, γ = 78.70°
Element x y z (fractional)
Cs 0.0000 0.0000 0.0000
Rb 0.2500 0.7500 0.5000
Rb 0.7500 0.2500 0.5000
I 0.5000 0.5000 0.0000
Br 0.2361 0.2361 0.0000
Br 0.2775 0.2775 0.5550
Br 0.2775 0.7225 0.0000
Br 0.7225 0.2775 0.0000
Br 0.7225 0.7225 0.4450
Br 0.7639 0.7639 0.0000

As for the total energy: -2.361 eV/atom. As for the total magnetization: 0.000 μB per formula unit. As for the uncorrected formation energy: -0.924 eV per atom. The space group is No. 139.


8.
DFT (PBE) results for a relaxed CaHoTm4 crystal.

a = 6.5621 Å, b = 6.5621 Å, c = 6.5621 Å
α = 60.00°, β = 60.00°, γ = 60.00°
Element x y z (fractional)
Ca 0.0000 0.0000 0.0000
Ho 0.7500 0.7500 0.7500
Tm 0.3764 0.3764 0.3764
Tm 0.3764 0.3764 0.8708
Tm 0.3764 0.8708 0.3764
Tm 0.8708 0.3764 0.3764

As for the total energy: -3.851 eV/atom. The formation energy comes out at 0.2268 eV per atom. As for the total magnetization: 0.002 μB per formula unit. The space group is No. 216.


9.
DFT (PBE) results for a relaxed CsBa2Pb crystal.

a = 5.9669 Å, b = 5.9669 Å, c = 5.3701 Å
α = 90.00°, β = 90.00°, γ = 90.00°
Element x y z (fractional)
Cs 0.0000 0.0000 0.0000
Ba 0.0000 0.5000 0.5000
Ba 0.5000 0.0000 0.5000
Pb 0.5000 0.5000 0.0000

As for the total energy: -2.213 eV/atom. The formation energy comes out at -0.1109 eV per atom. As for the total magnetization: 0.001 μB per formula unit. The space group is No. 123.


10.
DFT (PBE) results for a relaxed ZnCdWI2 crystal.

a = 5.8602 Å, b = 5.8602 Å, c = 5.6545 Å
α = 90.00°, β = 90.00°, γ = 90.00°
Element x y z (fractional)
Zn 0.0000 0.0000 0.0000
Cd 0.5000 0.5000 0.5000
W 0.5000 0.5000 0.0000
I 0.0000 0.5000 0.5000
I 0.5000 0.0000 0.5000

As for the total energy: -2.258 eV/atom. As for the total magnetization: 4.544 μB per formula unit. As for the uncorrected formation energy: 1.391 eV per atom. The space group is No. 123.


11.
DFT (PBE) results for a relaxed Be8P crystal.

a = 5.2467 Å, b = 5.2467 Å, c = 5.2467 Å
α = 95.41°, β = 95.41°, γ = 144.24°
Element x y z (fractional)
Be 0.0000 0.3436 0.3436
Be 0.0000 0.6564 0.6564
Be 0.3298 0.3298 0.6595
Be 0.3298 0.6702 0.0000
Be 0.3436 0.0000 0.3436
Be 0.6564 0.0000 0.6564
Be 0.6702 0.3298 0.0000
Be 0.6702 0.6702 0.3405
P 0.0000 0.0000 0.0000

As for the total energy: -3.679 eV/atom. The formation energy comes out at 0.2344 eV per atom. As for the total magnetization: 0.000 μB per formula unit. The space group is No. 139.


12.
DFT (PBE) results for a relaxed NdSc3Cd2 crystal.

a = 3.5190 Å, b = 3.5190 Å, c = 11.9425 Å
α = 90.00°, β = 90.00°, γ = 90.00°
Element x y z (fractional)
Nd 0.0000 0.0000 0.0000
Sc 0.5000 0.5000 0.2009
Sc 0.5000 0.5000 0.5000
Sc 0.5000 0.5000 0.7991
Cd 0.0000 0.0000 0.3498
Cd 0.0000 0.0000 0.6502

As for the total energy: -4.435 eV/atom. The formation energy comes out at -0.1698 eV per atom. As for the total magnetization: 0.001 μB per formula unit. The space group is No. 123.


13.
DFT (PBE) results for a relaxed MnZnCl4 crystal.

a = 7.4251 Å, b = 7.4251 Å, c = 6.3371 Å
α = 114.75°, β = 114.75°, γ = 28.48°
Element x y z (fractional)
Mn 0.0000 0.0000 0.0000
Zn 0.5000 0.5000 0.5000
Cl 0.1055 0.1055 0.4420
Cl 0.3934 0.3934 0.0679
Cl 0.6066 0.6066 0.9321
Cl 0.8945 0.8945 0.5580

As for the total energy: -4.049 eV/atom. As for the total magnetization: 5.000 μB per formula unit. As for the uncorrected formation energy: -1.078 eV per atom. The space group is No. 12.


14.
DFT (PBE) results for a relaxed Nd3AlGe6Pt2 crystal.

a = 5.9866 Å, b = 5.9866 Å, c = 8.3065 Å
α = 90.00°, β = 90.00°, γ = 120.00°
Element x y z (fractional)
Nd 0.0000 0.0000 0.0000
Nd 0.3333 0.6667 0.6329
Nd 0.6667 0.3333 0.3671
Al 0.0000 0.0000 0.5000
Ge 0.1888 0.3777 0.2797
Ge 0.1888 0.8112 0.2797
Ge 0.3777 0.1888 0.7203
Ge 0.6223 0.8112 0.2797
Ge 0.8112 0.1888 0.7203
Ge 0.8112 0.6223 0.7203
Pt 0.3333 0.6667 0.0214
Pt 0.6667 0.3333 0.9786

As for the total energy: -5.221 eV/atom. The formation energy comes out at -0.4022 eV per atom. As for the total magnetization: 0.000 μB per formula unit. The space group is No. 164.


15.
DFT (PBE) results for a relaxed La12Tm3Hg crystal.

a = 5.1356 Å, b = 5.1356 Å, c = 20.7345 Å
α = 90.00°, β = 90.00°, γ = 90.00°
Element x y z (fractional)
La 0.0000 0.0000 0.0000
La 0.0000 0.0000 0.2475
La 0.0000 0.0000 0.5000
La 0.0000 0.0000 0.7525
La 0.0000 0.5000 0.1224
La 0.0000 0.5000 0.3741
La 0.0000 0.5000 0.6259
La 0.0000 0.5000 0.8776
La 0.5000 0.0000 0.1224
La 0.5000 0.0000 0.3741
La 0.5000 0.0000 0.6259
La 0.5000 0.0000 0.8776
Tm 0.5000 0.5000 0.2478
Tm 0.5000 0.5000 0.5000
Tm 0.5000 0.5000 0.7522
Hg 0.5000 0.5000 0.0000

As for the total energy: -4.591 eV/atom. The formation energy comes out at -0.0386 eV per atom. As for the total magnetization: 0.000 μB per formula unit. The space group is No. 123.


16.
DFT (PBE) results for a relaxed Ac5Tb2Pb4 crystal.

a = 12.7081 Å, b = 12.7081 Å, c = 8.9751 Å
α = 92.61°, β = 92.61°, γ = 17.12°
Element x y z (fractional)
Ac 0.0000 0.0000 0.0000
Ac 0.3241 0.3241 0.9271
Ac 0.4226 0.4226 0.3252
Ac 0.5774 0.5774 0.6748
Ac 0.6759 0.6759 0.0729
Tb 0.2781 0.2781 0.3304
Tb 0.7219 0.7219 0.6696
Pb 0.1583 0.1583 0.4165
Pb 0.4423 0.4423 0.7067
Pb 0.5577 0.5577 0.2933
Pb 0.8417 0.8417 0.5835

As for the total energy: -4.147 eV/atom. The formation energy comes out at -0.0896 eV per atom. As for the total magnetization: 0.000 μB per formula unit. The space group is No. 12.


17.
DFT (PBE) results for a relaxed BeZn2 crystal.

a = 3.9032 Å, b = 3.9032 Å, c = 3.9032 Å
α = 60.00°, β = 60.00°, γ = 60.00°
Element x y z (fractional)
Be 0.0000 0.0000 0.0000
Zn 0.2500 0.2500 0.2500
Zn 0.7500 0.7500 0.7500

As for the total energy: -1.889 eV/atom. The formation energy comes out at 0.2023 eV per atom. As for the total magnetization: 0.000 μB per formula unit. The space group is No. 225.


18.
DFT (PBE) results for a relaxed Ag5Pd2Au4 crystal.

a = 9.9108 Å, b = 9.9108 Å, c = 9.9108 Å
α = 154.69°, β = 146.61°, γ = 42.36°
Element x y z (fractional)
Ag 0.0000 0.0000 0.0000
Ag 0.1002 0.3494 0.7509
Ag 0.4015 0.6506 0.7509
Ag 0.5985 0.3494 0.2491
Ag 0.8998 0.6506 0.2491
Pd 0.4265 0.9265 0.5000
Pd 0.5735 0.0735 0.5000
Au 0.2649 0.5000 0.7649
Au 0.2790 0.7790 0.5000
Au 0.7210 0.2210 0.5000
Au 0.7351 0.5000 0.2351

As for the total energy: -3.251 eV/atom. The formation energy comes out at 0.1811 eV per atom. As for the total magnetization: 0.000 μB per formula unit. The space group is No. 71.


19.
DFT (PBE) results for a relaxed ScAl3Tl crystal.

a = 5.1705 Å, b = 5.1705 Å, c = 5.1705 Å
α = 90.00°, β = 90.00°, γ = 90.00°
Element x y z (fractional)
Sc 0.0000 0.0000 0.0000
Al 0.0000 0.5000 0.5000
Al 0.5000 0.0000 0.5000
Al 0.5000 0.5000 0.0000
Tl 0.5000 0.5000 0.5000

As for the total energy: -3.091 eV/atom. The formation energy comes out at 0.8937 eV per atom. As for the total magnetization: 0.000 μB per formula unit. The space group is No. 221.


20.
DFT (PBE) results for a relaxed AcPaPtAu crystal.

a = 5.2301 Å, b = 5.2301 Å, c = 5.2301 Å
α = 60.00°, β = 60.00°, γ = 60.00°
Element x y z (fractional)
Ac 0.0000 0.0000 0.0000
Pa 0.5000 0.5000 0.5000
Pt 0.7500 0.7500 0.7500
Au 0.2500 0.2500 0.2500

As for the total energy: -6.246 eV/atom. The formation energy comes out at -0.5150 eV per atom. As for the total magnetization: 1.143 μB per formula unit. The space group is No. 216.


21.
DFT (PBE) results for a relaxed Na2TmOsO6 crystal.

a = 5.6038 Å, b = 5.6955 Å, c = 9.7511 Å
α = 90.00°, β = 124.84°, γ = 90.00°
Element x y z (fractional)
Na 0.2438 0.0331 0.2504
Na 0.2438 0.4669 0.7504
Na 0.7562 0.5331 0.2496
Na 0.7562 0.9669 0.7496
Tm 0.5000 0.0000 0.0000
Tm 0.5000 0.5000 0.5000
Os 0.0000 0.0000 0.5000
Os 0.0000 0.5000 0.0000
O 0.1437 0.2268 0.9579
O 0.1437 0.2732 0.4579
O 0.2353 0.6896 0.9617
O 0.2353 0.8104 0.4617
O 0.3080 0.0204 0.7307
O 0.3080 0.4796 0.2307
O 0.6920 0.5204 0.7693
O 0.6920 0.9796 0.2693
O 0.7647 0.1896 0.5383
O 0.7647 0.3104 0.0383
O 0.8563 0.7268 0.5421
O 0.8563 0.7732 0.0421

As for the total energy: -6.718 eV/atom. As for the total magnetization: 0.145 μB per formula unit. As for the uncorrected formation energy: -1.910 eV per atom. The space group is No. 14.


22.
DFT (PBE) results for a relaxed Tb4Er3PaAs8 crystal.

a = 8.2159 Å, b = 8.2159 Å, c = 8.2159 Å
α = 59.95°, β = 59.95°, γ = 59.95°
Element x y z (fractional)
Tb 0.0000 0.0000 0.0000
Tb 0.0000 0.5000 0.5000
Tb 0.5000 0.0000 0.5000
Tb 0.5000 0.5000 0.0000
Er 0.0000 0.0000 0.5000
Er 0.0000 0.5000 0.0000
Er 0.5000 0.0000 0.0000
Pa 0.5000 0.5000 0.5000
As 0.2488 0.2488 0.2488
As 0.2503 0.7472 0.7472
As 0.2528 0.2528 0.7497
As 0.2528 0.7497 0.2528
As 0.7472 0.2503 0.7472
As 0.7472 0.7472 0.2503
As 0.7497 0.2528 0.2528
As 0.7512 0.7512 0.7512

As for the total energy: -6.413 eV/atom. The formation energy comes out at -1.4812 eV per atom. As for the total magnetization: 0.000 μB per formula unit. The space group is No. 166.